1.
DFT (PBE+U) results for crystalline CsFeCuF6 at its relaxed geometry.

Cell: 5.368 5.379 6.496 Å, 90.94 91.20 117.13°
Space group P1 (No. 1)
Symmetry-distinct sites (fractional):
Cs  0.000  0.000  0.000
Fe  0.653  0.346  0.500
Cu  0.318  0.683  0.500
F  0.365  0.022  0.649
F  0.370  0.411  0.329
F  0.590  0.628  0.670
F  0.621  0.065  0.304
F  0.937  0.376  0.694
F  0.977  0.635  0.351

* calculated volume: 18.5 Å³ per atom
* polymorph energy (0 for the lowest one): 10.7 meV/atom
* density: 3.6 g/cm3

=====

2.
DFT (PBE+U) results for crystalline CsFeCuF6 at its relaxed geometry.

Cell: 7.274 7.544 10.638 Å, 90.00 90.00 90.00°
Space group Imma (No. 74)
Symmetry-distinct sites (fractional):
Cs  0.000  0.250  0.118
Fe  0.000  0.000  0.500
Cu  0.250  0.250  0.750
F  0.000  0.250  0.438
F  0.000  0.250  0.816
F  0.193  0.049  0.621

* calculated volume: 16.2 Å³ per atom
* D(E_F): 16.821 states/eV/cell
* polymorph energy (0 for the lowest one): 0.0 meV/atom
* density: 4.2 g/cm3

=====

3.
DFT (PBE+U) results for crystalline Cs2Fe3CuF12 at its relaxed geometry.

Cell: 7.5192 7.5192 18.1914 Å, 90.00 90.00 120.00°
Space group R-3m (No. 166, hexagonal axes)
Symmetry-distinct sites (fractional):
Cs  0.0000  0.0000  0.1274
Fe  0.0000  0.5000  0.0000
Cu  0.0000  0.0000  0.5000
F  0.0606  0.5303  0.1043
F  0.0761  0.5380  0.3524

* calculated volume: 16.5 Å³ per atom
* D(E_F): 5.267 states/eV/cell
* E: -4.9551 eV/atom
* density: 4.1 g/cm3